DFT (PBE with a Hubbard U) results for a relaxed Li2CrO3 crystal.

Cell lengths 9.0692, 5.8589, 5.3558 Å; angles 90.00, 118.23, 90.00 degrees
Space group C2/c (No. 15)
One atom of each set of equivalent atoms:
Li: 0.1609 0.0790 0.0764 [8 per cell]
Cr: 0.0000 0.4143 0.2500 [4 per cell]
O: 0.0000 0.1120 0.2500 [4 per cell]
O: 0.1496 0.4322 0.0676 [8 per cell]

Calculated values
Size of the total moment, Bohr magnetons per cell: 8.0
Uncorrected energy, eV per atom: -6.28
Theoretical density, g cm⁻³: 3.0
Offset from the most stable computed form, meV/atom: 0.0
Calculated volume, Å³ per atom: 10.45